# 1
First-principles (PBE-GGA) data for crystalline Na4Pb2F at its relaxed geometry, as listed in the Alexandria database.

Density   3.972 g/cm³
Total moment   0.0 μB/cell
Calculated total energy   -2.747 eV per atom
DOS(E_F)   2.35 states/eV/f.u.
Formation energy from raw total energies   -0.6663 eV/atom

Cell: 5.6902 5.6902 13.5681 Å, 90.00 90.00 90.00°
Last column: nearest neighbours and their distance in Å.
Space group I4/mmm (No. 139)
Inequivalent atoms, fractional coordinates:
Na1 0.0000 0.0000 0.1599 x4  1 F 2.17
Na2 0.0000 0.5000 0.0000 x4  2 F 2.85
Pb1 0.0000 0.0000 0.3911 x4  1 Pb 2.96, 5 Na 3.14-3.21
F1 0.0000 0.0000 0.0000 x2  2 Na 2.17

# 2
First-principles (PBE-GGA) data for crystalline Na2PbF at its relaxed geometry, as listed in the Alexandria database.

Density   4.563 g/cm³
Total moment   0.0 μB/cell
Calculated total energy   -2.651 eV per atom
DOS(E_F)   3.37 states/eV/f.u.
Formation energy from raw total energies   -0.5962 eV/atom
Energy above the most stable polymorph in this dataset   3.000 eV/f.u.

Cell: 7.3445 7.3445 7.3445 Å, 90.00 90.00 90.00°
Last column: nearest neighbours and their distance in Å.
Space group Fm-3m (No. 225)
Inequivalent atoms, fractional coordinates:
Na1 0.2500 0.2500 0.2500 x8  4 F 3.18, 4 Pb 3.18
Pb1 0.0000 0.0000 0.0000 x4  8 Na 3.18
F1 0.0000 0.0000 0.5000 x4  8 Na 3.18

# 3
First-principles (PBE-GGA) data for crystalline NaPbF6 at its relaxed geometry, as listed in the Alexandria database.

Density   4.628 g/cm³
Total moment   1.0 μB/cell
Calculated total energy   -3.859 eV per atom
DOS(E_F)   3.93 states/eV/f.u.
Formation energy from raw total energies   -1.8272 eV/atom
Energy above the most stable polymorph in this dataset   0.000 eV/f.u.

Cell: 4.8301 4.8485 6.1106 Å, 70.73 72.44 69.20°
Last column: nearest neighbours and their distance in Å.
Space group P-1 (No. 2)
Inequivalent atoms, fractional coordinates:
Na1 0.0000 0.0000 0.0000 x1  6 F 2.31-2.33
Pb1 0.5000 0.5000 0.5000 x1  6 F 2.10-2.12
F1 0.1162 0.7324 0.7190 x2  1 Pb 2.12, 1 Na 2.31
F2 0.2302 0.5658 0.2623 x2  1 Pb 2.11, 1 Na 2.33
F3 0.4289 0.0886 0.7267 x2  1 Pb 2.10, 1 Na 2.31

# 4
First-principles (PBE-GGA) data for crystalline Na2Pb3F8 at its relaxed geometry, as listed in the Alexandria database.

Density   5.518 g/cm³
Total moment   0.0 μB/cell
Calculated total energy   -4.532 eV per atom
DOS(E_F)   0.00 states/eV/f.u.
Formation energy from raw total energies   -2.3220 eV/atom

Cell: 6.5564 6.5564 19.8741 Å, 90.00 90.00 120.00°
Last column: nearest neighbours and their distance in Å.
Space group R-3m (No. 166, hexagonal axes)
Inequivalent atoms, fractional coordinates:
Na1 0.0000 0.0000 0.0921 x6  4 F 2.10-2.18
Pb1 0.0000 0.0000 0.3125 x6  4 F 2.28-2.40
Pb2 0.0000 0.0000 0.5000 x3  6 F 2.60
F1 0.0000 0.0000 0.1976 x6  1 Na 2.10, 1 Pb 2.28
F2 0.0405 0.5203 0.2671 x18  1 Na 2.18, 1 Pb 2.40

# 5
First-principles (PBE-GGA) data for crystalline NaPb3F6 at its relaxed geometry, as listed in the Alexandria database.

Density   6.680 g/cm³
Total moment   0.0 μB/cell
Calculated total energy   -4.534 eV per atom
DOS(E_F)   3.21 states/eV/f.u.
Formation energy from raw total energies   -2.1672 eV/atom

Cell: 10.8792 11.7687 5.8910 Å, 90.00 90.00 90.00°
Last column: nearest neighbours and their distance in Å.
Space group Cmc2_1 (No. 36)
Inequivalent atoms, fractional coordinates:
Na1 0.0000 0.1583 0.0000 x4  5 F 2.24-2.47
Pb1 0.0000 0.3908 0.4184 x4  7 F 2.44-2.64
Pb2 0.1904 0.1044 0.4912 x8  5 F 2.49-2.72
F1 0.0000 0.0242 0.2938 x4  2 Na 2.34-2.47, 2 Pb 2.56
F2 0.0000 0.2146 0.6368 x4  1 Na 2.24, 1 Pb 2.44
F3 0.1417 0.4589 0.7138 x8  3 Pb 2.46-2.64
F4 0.1491 0.2542 0.2033 x8  1 Na 2.31, 1 Pb 2.49

# 6
First-principles (PBE-GGA) data for crystalline Na2PbF8 at its relaxed geometry, as listed in the Alexandria database.

Density   3.706 g/cm³
Total moment   1.4 μB/cell
Calculated total energy   -3.765 eV per atom
DOS(E_F)   8.96 states/eV/f.u.
Formation energy from raw total energies   -1.8267 eV/atom

Cell: 12.4237 3.8200 7.7109 Å, 90.00 97.15 90.00°
Last column: nearest neighbours and their distance in Å.
Space group C2/m (No. 12)
Inequivalent atoms, fractional coordinates:
Na1 0.2492 0.0000 0.2815 x4  6 F 2.27-2.50
Pb1 0.0000 0.0000 0.5000 x2  8 F 2.09-2.28
F1 0.0579 0.5000 0.6446 x4  2 Pb 2.28, 1 Na 2.39, 3 F 2.50-2.54
F2 0.0633 0.0000 0.2614 x4  1 Pb 2.09, 1 Na 2.30
F3 0.1788 0.0000 0.5708 x4  1 Pb 2.22, 2 Na 2.34
F4 0.2485 0.5000 0.0127 x4  2 F 1.92

Q: Among the records above, which one has the lowest DOS(E_F)?
A: Na2Pb3F8